# KGaPt

A geometry-optimized KGaPt structure (PBE, Alexandria).

Output
DOS(E_F), states/eV per cell: 1.47
E, eV per atom: -3.836
Formation energy from the elements, eV per atom: -0.45

Lattice parameters (Å, degrees): 4.985 4.715 6.494 90.00 97.40 90.00
Space group P2_1/m (No. 11)
One atom of each set of equivalent atoms:
K1 0.234 0.250 0.402 (multiplicity 2)
Ga1 0.324 0.750 0.000 (multiplicity 2)
Pt1 0.162 0.250 0.913 (multiplicity 2)



# BaPm4Sn4

A geometry-optimized BaPm4Sn4 structure (PBE, Alexandria).

Output
DOS(E_F), states/eV per cell: 9.17
E, eV per atom: -4.658
Formation energy from the elements, eV per atom: -0.55

Lattice parameters (Å, degrees): 10.451 10.451 6.261 90.00 90.00 90.00
Space group P4_2/n (No. 86, origin choice 2)
One atom of each set of equivalent atoms:
Ba1 0.250 0.250 0.250 (multiplicity 2)
Pm1 0.118 0.631 0.141 (multiplicity 8)
Sn1 0.069 0.578 0.657 (multiplicity 8)



# Sm4Er2Tm

A geometry-optimized Sm4Er2Tm structure (PBE, Alexandria).

Output
DOS(E_F), states/eV per cell: 76.91
Excess energy over the best structure of this formula in the dataset, meV per atom: 0
E, eV per atom: -4.586
Formation energy from the elements, eV per atom: 0.05

Lattice parameters (Å, degrees): 11.854 24.009 6.407 90.00 90.00 90.00
Space group Fdd2 (No. 43)
One atom of each set of equivalent atoms:
Sm1 0.053 0.430 0.000 (multiplicity 16)
Sm2 0.071 0.356 0.468 (multiplicity 16)
Er1 0.025 0.285 0.942 (multiplicity 16)
Tm1 0.000 0.000 0.006 (multiplicity 8)



# KAuCl2

A geometry-optimized KAuCl2 structure (PBE, Alexandria).

Output
DOS(E_F), states/eV per cell: 0.33
Excess energy over the best structure of this formula in the dataset, meV per atom: 394
E, eV per atom: -2.733
Energy relative to the elements, uncorrected, eV per formula unit: -2.9

Lattice parameters (Å, degrees): 3.604 4.631 5.824 90.00 90.00 90.00
Space group Pmmm (No. 47)
One atom of each set of equivalent atoms:
K1 0.000 0.000 0.000 (multiplicity 1)
Au1 0.000 0.500 0.500 (multiplicity 1)
Cl1 0.500 0.000 0.500 (multiplicity 1)
Cl2 0.500 0.500 0.000 (multiplicity 1)



# Mn2BeCoCu

A geometry-optimized Mn2BeCoCu structure (PBE, Alexandria).

Output
DOS(E_F), states/eV per cell: 3.54
E, eV per atom: -5.820
Formation energy from the elements, eV per atom: 0.83

Lattice parameters (Å, degrees): 4.398 4.398 3.936 90.00 90.00 90.00
Space group P4/mmm (No. 123)
One atom of each set of equivalent atoms:
Mn1 0.000 0.500 0.000 (multiplicity 2)
Be1 0.000 0.000 0.500 (multiplicity 1)
Co1 0.000 0.000 0.000 (multiplicity 1)
Cu1 0.500 0.500 0.500 (multiplicity 1)



# Ho5ThRu6

A geometry-optimized Ho5ThRu6 structure (PBE, Alexandria).

Output
DOS(E_F), states/eV per cell: 8.37
E, eV per atom: -7.580
Formation energy from the elements, eV per atom: -0.42

Lattice parameters (Å, degrees): 4.834 6.834 7.590 90.00 108.40 90.00
Space group P2/m (No. 10)
One atom of each set of equivalent atoms:
Ho1 0.000 0.000 0.000 (multiplicity 1)
Ho2 0.329 0.500 0.658 (multiplicity 2)
Ho3 0.333 0.000 0.666 (multiplicity 2)
Th1 0.000 0.500 0.000 (multiplicity 1)
Ru1 0.163 0.253 0.326 (multiplicity 4)
Ru2 0.500 0.257 0.000 (multiplicity 2)



# YZnOs2

A geometry-optimized YZnOs2 structure (PBE, Alexandria).

Output
DOS(E_F), states/eV per cell: 7.60
E, eV per atom: -7.333
Formation energy from the elements, eV per atom: 0.22

Lattice parameters (Å, degrees): 9.205 3.019 5.152 90.00 103.30 90.00
Space group C2/m (No. 12)
One atom of each set of equivalent atoms:
Y1 0.000 0.000 0.000 (multiplicity 2)
Zn1 0.000 0.500 0.500 (multiplicity 2)
Os1 0.236 0.000 0.697 (multiplicity 4)



# Zr3CuC

A geometry-optimized Zr3CuC structure (PBE, Alexandria).

Output
DOS(E_F), states/eV per cell: 20.67
Excess energy over the best structure of this formula in the dataset, meV per atom: 0
E, eV per atom: -8.144
Formation energy from the elements, eV per atom: -0.35

Lattice parameters (Å, degrees): 10.460 4.649 7.791 90.00 113.08 90.00
Space group C2/m (No. 12)
One atom of each set of equivalent atoms:
Zr1 0.110 0.000 0.209 (multiplicity 4)
Zr2 0.135 0.500 0.925 (multiplicity 4)
Zr3 0.152 0.000 0.646 (multiplicity 4)
Cu1 0.099 0.500 0.443 (multiplicity 4)
C1 0.124 0.000 0.922 (multiplicity 4)